## Ac2MnNiO6 (PBE+U)

Data for an optimized crystal structure of Ac2MnNiO6.

Cell lengths 5.6513, 5.5903, 7.9119 Å; angles 90.00, 90.10, 90.00 degrees
Last column: nearest neighbours and their distance in Å.
Atoms (fractional coordinates):
Mn1 0.5000 0.0000 0.5000  6 O 1.94
Ni1 0.5000 0.0000 0.0000  6 O 2.05
O1 0.9514 0.5005 0.2428  1 Mn 1.94, 1 Ni 2.05
Ni2 0.0000 0.5000 0.5000  6 O 2.05
Ac1 0.9982 0.0018 0.7500  7 O 2.56-2.82
O2 0.2552 0.2412 0.4743  1 Mn 1.94, 1 Ni 2.05
O3 0.5486 0.0005 0.2572  1 Mn 1.94, 1 Ni 2.05
Mn2 0.0000 0.5000 0.0000  6 O 1.94
O4 0.7603 0.7464 0.9743  1 Mn 1.94, 1 Ni 2.05
O5 0.7448 0.7588 0.5257  1 Mn 1.94, 1 Ni 2.05
O6 0.2397 0.2536 0.0257  1 Mn 1.94, 1 Ni 2.05
Ac2 0.4982 0.4982 0.2500  7 O 2.56-2.82
Ac3 0.5018 0.5018 0.7500  7 O 2.56-2.82
O7 0.7552 0.2588 0.9743  1 Mn 1.94, 1 Ni 2.05
O8 0.7397 0.2464 0.5257  1 Mn 1.94, 1 Ni 2.05
Ac4 0.0018 0.9982 0.2500  7 O 2.56-2.82
O9 0.4514 0.9995 0.7428  1 Mn 1.94, 1 Ni 2.05
O10 0.2448 0.7412 0.0257  1 Mn 1.94, 1 Ni 2.05
O11 0.2603 0.7536 0.4743  1 Mn 1.94, 1 Ni 2.05
O12 0.0486 0.4995 0.7572  1 Mn 1.94, 1 Ni 2.05

* uncorrected energy: -7.234 eV/atom